NaHo2Ag | GGA-PBE | optimized geometry

Calculated values
excess energy over the best structure of this formula in the dataset	0.0	kJ per mole of atoms
theoretical density	6.50	g cm⁻³
formation energy	0.0301	eV per atom

Cell: 3.537 3.537 9.411 Å, 90.00 90.00 90.00°
Fractional coordinates of all 4 atoms:
Na1 0.000 0.000 0.000
Ho1 0.500 0.500 0.309
Ho2 0.500 0.500 0.691
Ag1 0.000 0.000 0.500